TmCrN2: optimized geometry, PBE-GGA.

Output
- Volume: 10.95 Å³ per atom
- DOS(E_F): 0.638 states/eV per atom
- Raw total energy: -8.424 eV per atom
- Energy relative to the elements, uncorrected: -0.74 eV per atom

Cell: 3.0767 3.0767 16.0314 Å, 90.00 90.00 120.00°
With the nearest neighbours (Å) after each atom.
Space group R3m (No. 160, hexagonal axes)
Unique sites:
Tm 0.0000 0.0000 0.0000 [3 per cell]  6 N 2.27-2.37
Cr 0.0000 0.0000 0.8251 [3 per cell]  6 N 2.10-2.17
N 0.0000 0.0000 0.4217 [3 per cell]  3 Cr 2.10, 3 Tm 2.27
N 0.0000 0.0000 0.5693 [3 per cell]  3 Cr 2.17, 1 N 2.37, 3 Tm 2.37